No. 1
DFT (PBE) results for crystalline Ca4SbN2 at its relaxed geometry.

Computed properties:
Total magnetization, μB/atom: 0.03
DOS at the Fermi energy, states/eV per atom: 0.517
Crystal system: orthorhombic
Space-group type: Imma (74)
Raw total energy, eV per atom: -4.645

Lattice parameters (Å, degrees): 6.946 7.947 7.947 62.18 64.08 64.08
Last column: magnetic moment on the atom in μB.
Atoms (fractional coordinates):
Ca: 0.713 0.244 0.331  0.00
Ca: 0.248 0.758 0.258  0.00
Ca: 0.713 0.831 0.744  0.00
Ca: 0.287 0.756 0.669  0.00
Ca: 0.752 0.242 0.742  0.00
Ca: 0.736 0.758 0.258  0.00
Ca: 0.264 0.242 0.742  0.00
Ca: 0.287 0.169 0.256  0.00
Sb: 0.500 0.500 0.000  0.03
Sb: 0.000 0.500 0.000  0.03
N: 0.500 0.500 0.500  0.10
N: 0.500 0.000 0.000  0.10
N: 0.147 0.103 0.603  0.02
N: 0.853 0.897 0.397  0.02

=====

No. 2
DFT (PBE) results for crystalline YEr3Tm7 at its relaxed geometry.

Computed properties:
Total magnetization, μB/atom: 0.04
DOS at the Fermi energy, states/eV per atom: 1.336
E_form, eV per atom: 0.285
Crystal system: monoclinic
Space-group type: C2/m (12)
Raw total energy, eV per atom: -4.393

Lattice parameters (Å, degrees): 5.689 8.306 8.306 82.89 110.07 110.07
Last column: magnetic moment on the atom in μB.
Atoms (fractional coordinates):
Tm: 0.706 0.010 0.400  0.01
Tm: 0.294 0.990 0.600  0.01
Tm: 0.793 0.794 0.794  0.01
Tm: 0.294 0.600 0.990  0.01
Tm: 0.706 0.400 0.010  0.01
Tm: 0.000 0.500 0.500  0.17
Tm: 0.207 0.206 0.206  0.01
Er: 0.500 0.000 0.000  0.00
Er: 0.000 0.208 0.792  0.01
Er: 0.000 0.792 0.208  0.01
Y: 0.500 0.500 0.500  0.13

=====

No. 3
DFT (PBE) results for crystalline La2Sn3HgRh4 at its relaxed geometry.

Computed properties:
Total magnetization, μB/atom: 0.00
DOS at the Fermi energy, states/eV per atom: 0.643
E_form, eV per atom: -0.649
Crystal system: tetragonal
Space-group type: P-4m2 (115)
Raw total energy, eV per atom: -5.806

Lattice parameters (Å, degrees): 4.448 4.448 11.228 90.00 90.00 90.00
Atoms (fractional coordinates):
Rh: 0.000 0.000 0.000
Rh: 0.500 0.000 0.644
Rh: 0.000 0.500 0.356
Rh: 0.500 0.500 0.000
Sn: 0.500 0.000 0.875
Sn: 0.000 0.500 0.125
Sn: 0.000 0.000 0.500
La: 0.500 0.000 0.251
La: 0.000 0.500 0.749
Hg: 0.500 0.500 0.500

=====

No. 4
DFT (PBE) results for crystalline Ac8Tb3Ho2 at its relaxed geometry.

Computed properties:
Total magnetization, μB/atom: 0.00
DOS at the Fermi energy, states/eV per atom: 1.596
E_form, eV per atom: 0.062
Crystal system: triclinic
Space-group type: P-1 (2)
Raw total energy, eV per atom: -4.239

Lattice parameters (Å, degrees): 6.654 6.625 12.030 79.35 89.91 99.71
Atoms (fractional coordinates):
Ho: 0.767 0.611 0.537
Ho: 0.233 0.389 0.463
Ac: 0.693 0.161 0.385
Ac: 0.153 0.919 0.308
Ac: 0.847 0.081 0.692
Ac: 0.384 0.304 0.775
Ac: 0.916 0.543 0.849
Ac: 0.084 0.457 0.151
Ac: 0.307 0.839 0.615
Ac: 0.616 0.696 0.225
Tb: 0.000 0.000 0.000
Tb: 0.461 0.775 0.927
Tb: 0.539 0.225 0.073

=====

No. 5
DFT (PBE) results for crystalline Ba2CaHfTa at its relaxed geometry.

Computed properties:
Total magnetization, μB/atom: 0.00
DOS at the Fermi energy, states/eV per atom: 1.551
E_form, eV per atom: 1.565
Crystal system: tetragonal
Space-group type: P4/mmm (123)
Raw total energy, eV per atom: -3.966

Lattice parameters (Å, degrees): 5.935 5.806 5.935 90.00 90.00 90.00
Atoms (fractional coordinates):
Ba: 0.000 0.000 0.500
Ba: 0.500 0.000 0.000
Ca: 0.000 0.500 0.000
Hf: 0.500 0.500 0.500
Ta: 0.000 0.000 0.000

=====

No. 6
DFT (PBE) results for crystalline ZrP2RhCl at its relaxed geometry.

Computed properties:
Total magnetization, μB/atom: 0.00
DOS at the Fermi energy, states/eV per atom: 0.635
Crystal system: tetragonal
Space-group type: P4/mmm (123)
Raw total energy, eV per atom: -5.530

Lattice parameters (Å, degrees): 4.605 4.605 4.624 90.00 90.00 90.00
Atoms (fractional coordinates):
P: 0.000 0.500 0.000
P: 0.500 0.000 0.000
Zr: 0.500 0.500 0.500
Cl: 0.000 0.000 0.500
Rh: 0.000 0.000 0.000

=====

No. 7
DFT (PBE) results for crystalline Dy2CuNi4Ge3 at its relaxed geometry.

Computed properties:
Total magnetization, μB/atom: 0.00
DOS at the Fermi energy, states/eV per atom: 0.754
E_form, eV per atom: -0.604
Crystal system: tetragonal
Space-group type: P-4m2 (115)
Raw total energy, eV per atom: -5.631

Lattice parameters (Å, degrees): 4.034 4.034 9.752 90.00 90.00 90.00
Atoms (fractional coordinates):
Ni: 0.500 0.500 0.000
Ni: 0.000 0.500 0.369
Ni: 0.000 0.000 0.000
Ni: 0.500 0.000 0.631
Ge: 0.000 0.500 0.131
Ge: 0.000 0.000 0.500
Ge: 0.500 0.000 0.869
Dy: 0.500 0.000 0.254
Dy: 0.000 0.500 0.746
Cu: 0.500 0.500 0.500

=====

No. 8
DFT (PBE) results for crystalline BaAg5S4 at its relaxed geometry.

Computed properties:
Total magnetization, μB/atom: 0.00
DOS at the Fermi energy, states/eV per atom: 0.654
Crystal system: triclinic
Space-group type: P-1 (2)
Raw total energy, eV per atom: -3.668

Lattice parameters (Å, degrees): 4.613 7.350 9.014 111.95 107.58 92.19
Atoms (fractional coordinates):
Ag: 0.854 0.709 0.284
Ag: 0.807 0.684 0.605
Ag: 0.193 0.316 0.395
Ag: 0.146 0.291 0.716
Ag: 0.500 0.000 0.500
Ba: 0.500 0.000 0.000
S: 0.132 0.937 0.224
S: 0.653 0.416 0.301
S: 0.347 0.584 0.699
S: 0.868 0.063 0.776

=====

No. 9
DFT (PBE) results for crystalline PmPrN2 at its relaxed geometry.

Computed properties:
Total magnetization, μB/atom: 0.00
Crystal system: trigonal
Space-group type: R3m (160)
Raw total energy, eV per atom: -7.695

Lattice parameters (Å, degrees): 3.582 3.582 6.561 74.16 74.16 60.00
Atoms (fractional coordinates):
Pm: 0.503 0.503 0.492
Pr: 0.673 0.673 0.981
N: 0.245 0.245 0.266
N: 0.079 0.079 0.762

=====

No. 10
DFT (PBE) results for crystalline Ta2Sb2Pd at its relaxed geometry.

Computed properties:
Total magnetization, μB/atom: 0.00
DOS at the Fermi energy, states/eV per atom: 0.364
Crystal system: tetragonal
Space-group type: I4/mmm (139)
Raw total energy, eV per atom: -6.861

Lattice parameters (Å, degrees): 4.042 4.042 7.304 73.94 73.94 90.00
Atoms (fractional coordinates):
Sb: 0.250 0.750 0.500
Sb: 0.750 0.250 0.500
Ta: 0.405 0.405 0.189
Ta: 0.595 0.595 0.811
Pd: 0.000 0.000 0.000

=====

No. 11
DFT (PBE) results for crystalline TcSb6Pt at its relaxed geometry.

Computed properties:
Total magnetization, μB/atom: 0.00
DOS at the Fermi energy, states/eV per atom: 0.858
Crystal system: monoclinic
Space-group type: C2/m (12)
Raw total energy, eV per atom: -5.332

Lattice parameters (Å, degrees): 8.183 8.183 8.230 109.33 109.74 109.10
Atoms (fractional coordinates):
Sb: 0.656 0.814 0.150
Sb: 0.505 0.850 0.664
Sb: 0.844 0.333 0.177
Sb: 0.495 0.150 0.336
Sb: 0.336 0.493 0.150
Sb: 0.344 0.186 0.850
Sb: 0.156 0.667 0.823
Sb: 0.154 0.347 0.500
Sb: 0.846 0.653 0.500
Sb: 0.664 0.507 0.850
Sb: 0.814 0.159 0.664
Sb: 0.186 0.841 0.336
Pt: 0.000 0.000 0.500
Pt: 0.500 0.500 0.500
Tc: 0.000 0.500 0.000
Tc: 0.500 0.000 0.000

=====

No. 12
DFT (PBE) results for crystalline CuTe2Br at its relaxed geometry.

Computed properties:
Total magnetization, μB/atom: 0.00
DOS at the Fermi energy, states/eV per atom: 0.000
Crystal system: monoclinic
Space-group type: P2_1/c (14)
Raw total energy, eV per atom: -3.207

Lattice parameters (Å, degrees): 5.228 8.397 11.908 104.21 90.00 90.00
Atoms (fractional coordinates):
Te: 0.030 0.132 0.854
Te: 0.970 0.868 0.146
Te: 0.212 0.438 0.850
Te: 0.712 0.062 0.650
Te: 0.470 0.632 0.354
Te: 0.288 0.938 0.350
Te: 0.788 0.562 0.150
Te: 0.530 0.368 0.646
Br: 0.876 0.294 0.379
Br: 0.124 0.706 0.621
Br: 0.624 0.794 0.879
Br: 0.376 0.206 0.121
Cu: 0.870 0.570 0.749
Cu: 0.630 0.070 0.249
Cu: 0.370 0.930 0.751
Cu: 0.130 0.430 0.251

=====

No. 13
DFT (PBE) results for crystalline Si2NiCl at its relaxed geometry.

Computed properties:
Total magnetization, μB/atom: 0.00
DOS at the Fermi energy, states/eV per atom: 0.502
Crystal system: tetragonal
Space-group type: P4/mmm (123)
Raw total energy, eV per atom: -4.466

Lattice parameters (Å, degrees): 2.955 2.955 6.869 90.00 90.00 89.96
Atoms (fractional coordinates):
Cl: 0.500 0.500 0.250
Si: 0.000 0.000 0.553
Si: 0.000 0.000 0.947
Ni: 0.500 0.500 0.750

=====

No. 14
DFT (PBE) results for crystalline Ti4MnSb at its relaxed geometry.

Computed properties:
Total magnetization, μB/atom: 0.23
DOS at the Fermi energy, states/eV per atom: 1.068
Crystal system: tetragonal
Space-group type: P4/mmm (123)
Raw total energy, eV per atom: -7.644

Lattice parameters (Å, degrees): 4.802 4.802 9.491 104.70 104.66 90.00
Last column: magnetic moment on the atom in μB.
Atoms (fractional coordinates):
Ti: 0.578 0.577 0.655  -0.56
Ti: 0.078 0.077 0.655  -0.56
Ti: 0.335 0.836 0.171  -0.02
Ti: 0.922 0.923 0.345  -0.56
Ti: 0.835 0.336 0.171  -0.02
Ti: 0.165 0.664 0.829  -0.02
Ti: 0.422 0.423 0.345  -0.56
Ti: 0.665 0.164 0.829  -0.02
Sb: 0.750 0.750 0.000  0.00
Sb: 0.250 0.250 0.000  0.00
Mn: 0.000 0.500 0.500  2.69
Mn: 0.500 0.000 0.500  2.69

=====

No. 15
DFT (PBE) results for crystalline LiNpSnF6 at its relaxed geometry.

Computed properties:
Total magnetization, μB/atom: 0.44
DOS at the Fermi energy, states/eV per atom: 0.321
Crystal system: trigonal
Space-group type: P-31c (163)
Raw total energy, eV per atom: -6.204

Lattice parameters (Å, degrees): 5.745 5.745 10.288 90.00 90.00 120.00
Last column: magnetic moment on the atom in μB.
Atoms (fractional coordinates):
F: 0.640 0.664 0.136  -0.01
F: 0.336 0.975 0.136  -0.01
F: 0.664 0.025 0.864  -0.01
F: 0.975 0.336 0.636  -0.01
F: 0.640 0.975 0.364  -0.01
F: 0.664 0.640 0.636  -0.01
F: 0.975 0.640 0.864  -0.01
F: 0.025 0.664 0.364  -0.01
F: 0.360 0.336 0.864  -0.01
F: 0.025 0.360 0.136  -0.01
F: 0.360 0.025 0.636  -0.01
F: 0.336 0.360 0.364  -0.01
Li: 0.333 0.667 0.250  0.00
Li: 0.667 0.333 0.750  0.00
Np: 0.667 0.333 0.250  3.96
Np: 0.333 0.667 0.750  3.96
Sn: 0.000 0.000 0.500  0.01
Sn: 0.000 0.000 0.000  0.01

=====

No. 16
DFT (PBE) results for crystalline CsIn2Pd2 at its relaxed geometry.

Computed properties:
Total magnetization, μB/atom: 0.00
DOS at the Fermi energy, states/eV per atom: 0.414
E_form, eV per atom: -0.201
Crystal system: tetragonal
Space-group type: I4/mmm (139)
Raw total energy, eV per atom: -3.544

Lattice parameters (Å, degrees): 4.804 4.804 6.771 69.22 69.22 90.00
Atoms (fractional coordinates):
In: 0.250 0.750 0.500
In: 0.750 0.250 0.500
Pd: 0.627 0.627 0.746
Pd: 0.373 0.373 0.254
Cs: 0.000 0.000 0.000

=====

No. 17
DFT (PBE) results for crystalline TaCF2 at its relaxed geometry.

Computed properties:
Total magnetization, μB/atom: 0.00
DOS at the Fermi energy, states/eV per atom: 0.521
Crystal system: cubic
Space-group type: Fm-3m (225)
Raw total energy, eV per atom: -6.119

Lattice parameters (Å, degrees): 3.823 3.823 3.823 60.00 60.00 60.00
Atoms (fractional coordinates):
F: 0.250 0.250 0.250
F: 0.750 0.750 0.750
Ta: 0.500 0.500 0.500
C: 0.000 0.000 0.000

=====

No. 18
DFT (PBE) results for crystalline Sc3InH3 at its relaxed geometry.

Computed properties:
Total magnetization, μB/atom: 0.00
DOS at the Fermi energy, states/eV per atom: 0.539
Crystal system: trigonal
Space-group type: R-3 (148)
Raw total energy, eV per atom: -5.010

Lattice parameters (Å, degrees): 5.894 5.894 7.979 68.32 68.32 60.00
Atoms (fractional coordinates):
H: 0.461 0.801 0.605
H: 0.539 0.199 0.395
H: 0.801 0.133 0.605
H: 0.867 0.539 0.395
H: 0.133 0.461 0.605
H: 0.199 0.867 0.395
Sc: 0.107 0.768 0.675
Sc: 0.232 0.551 0.325
Sc: 0.551 0.893 0.325
Sc: 0.449 0.107 0.675
Sc: 0.768 0.449 0.675
Sc: 0.893 0.232 0.325
In: 0.667 0.667 0.000
In: 0.333 0.333 0.000

=====

No. 19
DFT (PBE) results for crystalline BaNa2Cl at its relaxed geometry.

Computed properties:
Total magnetization, μB/atom: 0.22
DOS at the Fermi energy, states/eV per atom: 0.658
Crystal system: cubic
Space-group type: Fm-3m (225)
Raw total energy, eV per atom: -1.901

Lattice parameters (Å, degrees): 6.068 6.068 6.068 60.00 60.00 60.00
Last column: magnetic moment on the atom in μB.
Atoms (fractional coordinates):
Na: 0.750 0.750 0.750  0.04
Na: 0.250 0.250 0.250  0.04
Cl: 0.000 0.000 0.000  0.04
Ba: 0.500 0.500 0.500  0.14

=====

No. 20
DFT (PBE) results for crystalline TiZnTcIr at its relaxed geometry.

Computed properties:
Total magnetization, μB/atom: 0.00
DOS at the Fermi energy, states/eV per atom: 1.226
E_form, eV per atom: -0.349
Crystal system: cubic
Space-group type: F-43m (216)
Raw total energy, eV per atom: -7.448

Lattice parameters (Å, degrees): 4.347 4.347 4.347 60.00 60.00 60.00
Atoms (fractional coordinates):
Zn: 0.750 0.750 0.750
Ti: 0.250 0.250 0.250
Ir: 0.000 0.000 0.000
Tc: 0.500 0.500 0.500

=====

No. 21
DFT (PBE) results for crystalline RbLiNpSe3 at its relaxed geometry.

Computed properties:
Total magnetization, μB/atom: 0.50
DOS at the Fermi energy, states/eV per atom: 1.303
Crystal system: monoclinic
Space-group type: P2_1/m (11)
Raw total energy, eV per atom: -5.607

Lattice parameters (Å, degrees): 4.258 9.294 9.753 108.64 90.00 90.00
Last column: magnetic moment on the atom in μB.
Atoms (fractional coordinates):
Li: 0.250 0.080 0.597  0.00
Li: 0.750 0.920 0.403  0.00
Se: 0.750 0.207 0.550  -0.09
Se: 0.750 0.870 0.130  -0.11
Se: 0.250 0.529 0.847  -0.13
Se: 0.250 0.130 0.870  -0.11
Se: 0.750 0.471 0.153  -0.13
Se: 0.250 0.793 0.450  -0.09
Rb: 0.750 0.789 0.743  0.00
Rb: 0.250 0.211 0.257  0.00
Np: 0.750 0.322 0.847  3.38
Np: 0.250 0.678 0.153  3.38

=====

No. 22
DFT (PBE) results for crystalline NdHoMgTc at its relaxed geometry.

Computed properties:
Total magnetization, μB/atom: 0.00
DOS at the Fermi energy, states/eV per atom: 0.583
E_form, eV per atom: 0.045
Crystal system: cubic
Space-group type: F-43m (216)
Raw total energy, eV per atom: -5.281

Lattice parameters (Å, degrees): 5.101 5.101 5.101 60.00 60.00 60.00
Atoms (fractional coordinates):
Tc: 0.000 0.000 0.000
Mg: 0.500 0.500 0.500
Ho: 0.250 0.250 0.250
Nd: 0.750 0.750 0.750

=====

No. 23
DFT (PBE) results for crystalline MnGaFeMo at its relaxed geometry.

Computed properties:
Total magnetization, μB/atom: 0.00
DOS at the Fermi energy, states/eV per atom: 0.437
E_form, eV per atom: -0.067
Crystal system: cubic
Space-group type: F-43m (216)
Raw total energy, eV per atom: -7.940

Lattice parameters (Å, degrees): 4.150 4.150 4.150 60.00 60.00 60.00
Atoms (fractional coordinates):
Fe: 0.000 0.000 0.000
Ga: 0.750 0.750 0.750
Mn: 0.500 0.500 0.500
Mo: 0.250 0.250 0.250